Arrangement w

Computed, not measured: a relaxed structure of LaCu3Mo at the GGA-PBE level of DFT.

Summary:
Total magnetization, μB per atom: 0.000
Density, g/cm3: 6.31
Symmetry: Pm-3m
N(E_F), states/eV/f.u.: 2.4

a b c (Å): 4.821 4.821 4.821
angles (deg): 90.00 90.00 90.00
Sites, in units of the cell vectors:
Mo 0.500 0.500 0.500
Cu 0.000 0.500 0.000
Cu 0.000 0.000 0.500
Cu 0.500 0.000 0.000
La 0.000 0.000 0.000

=====

Arrangement x

Computed, not measured: a relaxed structure of LaCu3Mo at the GGA-PBE level of DFT.

Summary:
Total magnetization, μB per atom: 0.000
Density, g/cm3: 6.64
Symmetry: Pm-3m
N(E_F), states/eV/f.u.: 5.9

a b c (Å): 4.739 4.739 4.739
angles (deg): 90.00 90.00 90.00
Sites, in units of the cell vectors:
Mo 0.000 0.000 0.000
Cu 0.000 0.500 0.000
Cu 0.000 0.000 0.500
Cu 0.500 0.000 0.000
La 0.500 0.500 0.500

=====

Ranked by calculated energy, most stable first: arrangement x, arrangement w.

=====

Arrangement w

Computed, not measured: a relaxed structure of LaCuMo2 at the GGA-PBE level of DFT.

Summary:
Total magnetization, μB per atom: 0.000
Density, g/cm3: 8.88
Symmetry: Cmmm
N(E_F), states/eV/f.u.: 3.7

a b c (Å): 5.577 5.577 2.713
angles (deg): 90.00 90.00 119.06
Sites, in units of the cell vectors:
Cu 0.500 0.000 0.500
La 0.000 0.500 0.500
Mo 0.000 0.000 0.000
Mo 0.500 0.500 0.000

=====

Arrangement x

Computed, not measured: a relaxed structure of LaCuMo2 at the GGA-PBE level of DFT.

Summary:
Total magnetization, μB per atom: 0.000
Density, g/cm3: 9.42
Symmetry: Fm-3m
N(E_F), states/eV/f.u.: 3.5

a b c (Å): 4.616 4.616 4.616
angles (deg): 60.00 60.00 60.00
Sites, in units of the cell vectors:
Mo 0.250 0.250 0.250
Mo 0.750 0.750 0.750
Cu 0.000 0.000 0.000
La 0.500 0.500 0.500

=====

Ranked by calculated energy, most stable first: arrangement w, arrangement x.

=====

Arrangement w

Computed, not measured: a relaxed structure of LaCuMo2 at the GGA-PBE level of DFT.

Summary:
Total magnetization, μB per atom: 0.000
Density, g/cm3: 8.23
Symmetry: P4/mmm
N(E_F), states/eV/f.u.: 4.1

a b c (Å): 3.417 3.417 6.815
angles (deg): 90.00 90.00 90.00
Sites, in units of the cell vectors:
Cu 0.500 0.500 0.250
La 0.500 0.500 0.750
Mo 0.000 0.000 0.084
Mo 0.000 0.000 0.416

=====

Arrangement x

Computed, not measured: a relaxed structure of LaCuMo2 at the GGA-PBE level of DFT.

Summary:
Total magnetization, μB per atom: 0.000
Density, g/cm3: 8.82
Symmetry: Cmm2
N(E_F), states/eV/f.u.: 2.9

a b c (Å): 2.945 2.945 9.199
angles (deg): 90.00 90.00 111.46
Sites, in units of the cell vectors:
Cu 0.000 0.000 0.466
La 0.500 0.500 0.747
Mo 0.000 0.000 0.037
Mo 0.500 0.500 0.250

=====

Ranked by calculated energy, most stable first: arrangement x, arrangement w.

=====

Arrangement w

Computed, not measured: a relaxed structure of LaCuMo2 at the GGA-PBE level of DFT.

Summary:
Total magnetization, μB per atom: 0.000
Density, g/cm3: 8.33
Symmetry: Imm2
N(E_F), states/eV/f.u.: 3.8

a b c (Å): 5.461 5.461 5.461
angles (deg): 142.90 125.71 67.59
Sites, in units of the cell vectors:
Cu 0.517 0.517 0.000
La 0.240 0.740 0.500
Mo 0.969 0.969 0.000
Mo 0.774 0.274 0.500

=====

Arrangement x

Computed, not measured: a relaxed structure of LaCuMo2 at the GGA-PBE level of DFT.

Summary:
Total magnetization, μB per atom: 0.000
Density, g/cm3: 7.99
Symmetry: Cm
N(E_F), states/eV/f.u.: 3.6

a b c (Å): 4.489 4.489 6.052
angles (deg): 79.57 79.57 43.25
Sites, in units of the cell vectors:
Cu 0.485 0.485 0.577
La 0.233 0.233 0.254
Mo 0.023 0.023 0.914
Mo 0.758 0.758 0.754

=====

Ranked by calculated energy, most stable first: arrangement x, arrangement w.